DFT (GGA-PBE) results for a geometry-optimized CePmBeN3 structure.

Properties
uncorrected formation energy	-1.265	eV per atom
uncorrected energy	-46.97	eV per formula unit
M_tot	0.0	μB per formula unit

Cell: 6.8886 3.3875 7.2677 Å, 90.00 98.10 90.00°
With the nearest neighbours (Å) after each atom.
Space group P2_1/m (No. 11)
One atom of each set of equivalent atoms:
Ce  0.1921  0.2500  0.1501  6 N 2.33-2.42
Pm  0.2079  0.2500  0.6627  7 N 2.47-2.66
Be  0.4033  0.7500  0.4255  2 N 1.69-1.71
N  0.1485  0.7500  0.9101  3 Ce 2.33-2.42, 2 Pm 2.54
N  0.1536  0.7500  0.3787  1 Be 1.71
N  0.4968  0.2500  0.3477  1 Be 1.69

---

DFT (GGA-PBE) results for a geometry-optimized Pm2Er2Pb5 structure.

Properties
energy of formation from the pure elements	-0.38	eV/atom
uncorrected energy	-40.62	eV per formula unit
M_tot	0.0	μB per formula unit

Cell: 16.6250 8.1850 8.1953 Å, 90.00 90.00 90.00°
With the nearest neighbours (Å) after each atom.
Space group Cmce (No. 64)
One atom of each set of equivalent atoms:
Pm  0.1919  0.0000  0.0000  7 Pb 3.19-3.33
Er  0.0000  0.1613  0.3382  8 Pb 3.07-3.30
Pb  0.0000  0.0000  0.0000  4 Er 3.07, 2 Pm 3.19
Pb  0.1338  0.1356  0.6349  1 Pb 3.13, 3 Er 3.24-3.30, 3 Pm 3.29-3.33

---

DFT (GGA-PBE) results for a geometry-optimized PmEr5Tm3 structure.

Properties
distance to the lowest polymorph of the same formula	0.3038	eV per atom
energy of formation from the pure elements	0.44	eV/atom
uncorrected energy	-37.06	eV per formula unit
M_tot	0.0	μB per formula unit

Cell: 16.7153 7.8923 12.0585 Å, 90.00 130.49 90.00°
With the nearest neighbours (Å) after each atom.
Space group C2/m (No. 12)
One atom of each set of equivalent atoms:
Pm  0.2356  0.0000  0.1311  2 Tm 3.15-3.33, 1 Er 3.24
Er  0.0000  0.3219  0.0000  1 Tm 2.54, 1 Er 2.81
Er  0.0644  0.2074  0.7801  5 Er 3.27-3.59, 3 Tm 3.42-3.63, 2 Pm 3.61
Er  0.1222  0.0000  0.5654  4 Er 3.29-3.59, 2 Tm 3.30-3.53
Er  0.2017  0.5000  0.0725  7 Er 3.21-3.54, 1 Pm 3.24
Tm  0.0000  0.0000  0.0000  2 Er 2.54
Tm  0.0000  0.5000  0.5000  4 Er 3.63, 2 Pm 3.71, 2 Tm 3.85
Tm  0.1221  0.5000  0.3178  1 Tm 3.26, 5 Er 3.27-3.53
Tm  0.1685  0.0000  0.3377  2 Tm 3.10-3.26, 1 Er 3.30, 1 Pm 3.33

---

DFT (GGA-PBE) results for a geometry-optimized SiHgBr structure.

Properties
uncorrected formation energy	0.451	eV per atom
distance to the lowest polymorph of the same formula	0.4538	eV per atom
uncorrected energy	-6.04	eV per formula unit
M_tot	0.0	μB per formula unit

Cell: 6.9355 6.9355 6.9355 Å, 90.00 90.00 90.00°
With the nearest neighbours (Å) after each atom.
Space group F-43m (No. 216)
One atom of each set of equivalent atoms:
Si  0.0000  0.0000  0.0000  4 Hg 3.00, 4 Br 3.00
Hg  0.2500  0.2500  0.7500  4 Si 3.00
Br  0.2500  0.2500  0.2500  4 Si 3.00

---

DFT (GGA-PBE) results for a geometry-optimized KH6IN2 structure.

Properties
uncorrected energy	-45.18	eV per formula unit
M_tot	0.0	μB per formula unit

Cell: 6.7048 14.7135 7.0231 Å, 90.00 114.84 90.00°
With the nearest neighbours (Å) after each atom.
Space group C2/c (No. 15)
One atom of each set of equivalent atoms:
K  0.0000  0.0215  0.2500  4 H 2.92-2.95, 4 N 2.95-2.97
H  0.1039  0.1961  0.6122  1 N 1.03
H  0.2035  0.3520  0.4401  1 N 1.03
H  0.2075  0.3657  0.2107  1 N 1.03
I  0.0000  0.3802  0.7500  6 H 2.94-3.05
N  0.1925  0.1372  0.6312  3 H 1.03